A geometry-optimized Dy2MnSe2O2 structure, computed with PBE+U.

```
Dy2MnSe2O2
1.0
5.7456 -1.8956 0.0000
5.7456 1.8956 0.0000
-3.7141 0.0000 5.9399
Dy Mn Se O
2 1 2 2
Direct
0.1907 0.1907 0.2508 Dy
0.8093 0.8093 0.7492 Dy
0.0000 0.0000 0.5000 Mn
0.4328 0.4328 0.1658 Se
0.5672 0.5672 0.8342 Se
0.2029 0.2029 0.5842 O
0.7971 0.7971 0.4158 O
```

- crystal system = monoclinic
- final energy (eV for the cell shown) = -49.98
- space group = C2/m, No. 12